# 1
{"formula": "BaLu2Zr", "functional": "PBE", "state": "optimized geometry", "lattice_angstrom": [[3.459, 0.000, 0.000], [1.729, 2.996, 0.000], [1.729, 0.999, 12.247]], "species": ["Ba", "Lu", "Lu", "Zr"], "frac_coords": [[0.000, 0.000, 0.000], [0.097, 0.097, 0.708], [0.903, 0.903, 0.292], [0.500, 0.500, 0.500]], "dft_energy_ev_per_atom": -4.61, "dos_ef_per_ev_fu": 5.80}

# 2
{"formula": "Ga2Bi2I", "functional": "PBE", "state": "optimized geometry", "lattice_angstrom": [[4.613, 0.000, 0.000], [0.000, 4.613, 0.000], [2.307, 2.307, 7.208]], "species": ["Bi", "Bi", "Ga", "Ga", "I"], "frac_coords": [[0.250, 0.750, 0.500], [0.750, 0.250, 0.500], [0.594, 0.594, 0.812], [0.406, 0.406, 0.188], [0.000, 0.000, 0.000]], "polymorph_energy_mev_per_atom": 82.6, "dos_ef_per_ev_fu": 3.13, "raw_formation_energy_kj_per_mol_fu": 13}